[1]
Below is a relaxed structure of Mn2Ir, with properties calculated at the PBE level.

The calculation puts the energy of formation from the pure elements at 0.33 eV/atom. The value obtained for the density of states at the Fermi level is 1.128 states/eV per atom. The total energy comes out at -8.734 eV per atom.

The structure belongs to space group P4/mmm (No. 123); the cell edges are 4.389, 4.389 and 2.784 Å and the angles 90.00°, 90.00° and 90.00°. The inequivalent atoms are Mn at (0.000, 0.500, 0.000) and Ir at (0.000, 0.000, 0.500).

***

[2]
Below is a relaxed structure of TiBe2Pb2, with properties calculated at the PBE level.

The energy above the most stable polymorph in this dataset is 0 meV/atom. The calculation puts the energy of formation from the pure elements at 0.58 eV/atom. The value obtained for the density of states at the Fermi level is 0.388 states/eV per atom. The total energy comes out at -3.976 eV per atom.

The structure belongs to space group I4/mmm (No. 139); the cell edges are 3.553, 3.553 and 14.953 Å and the angles 90.00°, 90.00° and 90.00°. The inequivalent atoms are Ti at (0.000, 0.000, 0.000), Be at (0.000, 0.500, 0.250) and Pb at (0.000, 0.000, 0.382).

***

[3]
Below is a relaxed structure of AgAs2Rh, with properties calculated at the PBE level.

The energy above the most stable polymorph in this dataset is 168 meV/atom. The calculation puts the energy of formation from the pure elements at 0.11 eV/atom. The value obtained for the density of states at the Fermi level is 0.690 states/eV per atom. The total energy comes out at -4.765 eV per atom.

The structure belongs to space group I-42d (No. 122); the cell edges are 5.804, 5.804 and 11.081 Å and the angles 90.00°, 90.00° and 90.00°. The inequivalent atoms are Ag at (0.000, 0.000, 0.000), As at (0.214, 0.250, 0.625) and Rh at (0.000, 0.000, 0.500).

***

[4]
Below is a relaxed structure of Ca2AgGe3Pt4, with properties calculated at the PBE level.

The calculation puts the energy of formation from the pure elements at -0.69 eV/atom. The value obtained for the density of states at the Fermi level is 0.582 states/eV per atom. The total energy comes out at -5.180 eV per atom.

The structure belongs to space group P-4m2 (No. 115); the cell edges are 4.198, 4.198 and 11.061 Å and the angles 90.00°, 90.00° and 90.00°. The inequivalent atoms are Ca at (0.000, 0.500, 0.248), Ag at (0.500, 0.500, 0.000), Ge at (0.000, 0.000, 0.000), Ge at (0.000, 0.500, 0.630), Pt at (0.000, 0.000, 0.500), Pt at (0.000, 0.500, 0.847) and Pt at (0.500, 0.500, 0.500).